1.
Tb2HgPb3 GGA-PBE relaxed; crystal system = orthorhombic; final energy = -43.3 eV per cell; magnetic moment = 0.00 μB/f.u.
1.0
-0.504 0.178 4.958
6.392 -6.808 0.894
2.248 9.107 -0.099
Tb Hg Pb
4 2 6
direct
0.493 0.850 0.631 Tb
0.993 0.369 0.150 Tb
0.493 0.631 0.850 Tb
0.993 0.150 0.369 Tb
0.993 0.573 0.573 Hg
0.493 0.427 0.427 Hg
0.993 0.821 0.393 Pb
0.493 0.607 0.179 Pb
0.993 0.393 0.821 Pb
0.493 0.179 0.607 Pb
0.493 0.097 0.097 Pb
0.993 0.903 0.903 Pb

2.
SnP2SO GGA-PBE relaxed; formation energy without anion corrections = 0.323 eV per atom; crystal system = tetragonal; magnetic moment = 0.00 μB/f.u.
1.0
3.885 0.000 0.000
0.000 3.885 0.000
0.000 0.000 6.333
P S Sn O
2 1 1 1
direct
0.000 0.500 0.000 P
0.500 0.000 0.000 P
0.000 0.000 0.500 S
0.500 0.500 0.500 Sn
0.000 0.000 0.000 O

3.
Lu2SnOs GGA-PBE relaxed; crystal system = tetragonal; final energy = -25.7 eV per cell; magnetic moment = 0.00 μB/f.u.
1.0
3.630 0.000 0.000
0.000 4.848 0.000
0.000 0.000 4.848
Lu Os Sn
2 1 1
direct
0.000 0.000 0.500 Lu
0.000 0.500 0.000 Lu
0.500 0.000 0.000 Os
0.500 0.500 0.500 Sn